(1)
This record from the Alexandria database describes crystalline FeRe2Au at its relaxed geometry. The functional is PBE.

Results
ΔE to the lowest computed polymorph, eV/atom: 0.1670
Energy of formation, eV per atom: 0.386
Magnetization, μB/f.u.: 2.034
N(E_F), states/eV/atom: 0.742

a b c (Å): 3.821 3.821 8.047
angles (deg): 90.00 90.00 90.00
Space group I4/mmm (No. 139)
Symmetry-distinct sites (fractional):
Fe1 0.000 0.000 0.000
Re1 0.000 0.500 0.250
Au1 0.000 0.000 0.500


(2)
This record from the Alexandria database describes crystalline Pr2Ho7Sc3 at its relaxed geometry. The functional is PBE.

Results
Energy of formation, eV per atom: 0.149
Magnetization, μB/f.u.: 0.000
N(E_F), states/eV/atom: 1.727

a b c (Å): 5.659 37.029 3.534
angles (deg): 90.00 90.00 90.00
Space group Cmmm (No. 65)
Symmetry-distinct sites (fractional):
Pr1 0.000 0.175 0.000
Ho1 0.000 0.000 0.000
Ho2 0.000 0.088 0.500
Ho3 0.000 0.274 0.000
Ho4 0.000 0.430 0.000
Sc1 0.000 0.353 0.500
Sc2 0.000 0.500 0.500


(3)
This record from the Alexandria database describes crystalline Sc3BCl3 at its relaxed geometry. The functional is PBE.

Results
Magnetization, μB/f.u.: 0.000
Energy relative to the elements, uncorrected, kJ/mol of formula units: -1000
N(E_F), states/eV/atom: 0.363

a b c (Å): 10.266 10.266 10.266
angles (deg): 90.00 90.00 90.00
Space group I4_132 (No. 214)
Symmetry-distinct sites (fractional):
Sc1 0.106 0.356 0.125
B1 0.125 0.125 0.125
Cl1 0.121 0.129 0.625


(4)
This record from the Alexandria database describes crystalline ScZnAs2 at its relaxed geometry. The functional is PBE.

Results
Energy of formation, eV per atom: -0.562
Magnetization, μB/f.u.: 0.000
N(E_F), states/eV/atom: 0.357

a b c (Å): 10.096 3.770 4.037
angles (deg): 90.00 102.54 90.00
Space group Cm (No. 8)
Symmetry-distinct sites (fractional):
Sc1 0.000 0.000 0.000
Zn1 0.266 0.500 0.375
As1 0.034 0.500 0.515
As2 0.282 0.000 0.942


(5)
This record from the Alexandria database describes crystalline MgZnGa at its relaxed geometry. The functional is PBE.

Results
Energy of formation, eV per atom: -0.055
Magnetization, μB/f.u.: 0.000
N(E_F), states/eV/atom: 0.537

a b c (Å): 6.166 6.166 6.166
angles (deg): 90.00 90.00 90.00
Space group F-43m (No. 216)
Symmetry-distinct sites (fractional):
Mg1 0.000 0.000 0.000
Zn1 0.250 0.250 0.750
Ga1 0.000 0.000 0.500


(6)
This record from the Alexandria database describes crystalline Sm3ErSc2 at its relaxed geometry. The functional is PBE.

Results
Energy of formation, eV per atom: 0.054
Magnetization, μB/f.u.: 0.005
N(E_F), states/eV/atom: 1.580

a b c (Å): 17.077 7.000 6.016
angles (deg): 90.00 90.63 90.00
Space group C2/c (No. 15)
Symmetry-distinct sites (fractional):
Sm1 0.000 0.123 0.250
Sm2 0.169 0.374 0.415
Er1 0.000 0.373 0.750
Sc1 0.168 0.124 0.919


(7)
This record from the Alexandria database describes crystalline NaY3Se at its relaxed geometry. The functional is PBE.

Results
ΔE to the lowest computed polymorph, eV/atom: 1.0174
Magnetization, μB/f.u.: 0.000
Energy relative to the elements, uncorrected, kJ/mol of formula units: 324
N(E_F), states/eV/atom: 1.453

a b c (Å): 5.479 5.479 5.479
angles (deg): 90.00 90.00 90.00
Space group Pm-3m (No. 221)
Symmetry-distinct sites (fractional):
Na1 0.000 0.000 0.000
Y1 0.000 0.000 0.500
Se1 0.500 0.500 0.500


(8)
This record from the Alexandria database describes crystalline Ce3AlCo3 at its relaxed geometry. The functional is PBE.

Results
Energy of formation, eV per atom: -0.312
Magnetization, μB/f.u.: 0.000
N(E_F), states/eV/atom: 1.233

a b c (Å): 4.366 8.679 13.789
angles (deg): 90.00 90.00 90.00
Space group Cmcm (No. 63)
Symmetry-distinct sites (fractional):
Ce1 0.000 0.017 0.250
Ce2 0.000 0.302 0.110
Al1 0.000 0.000 0.000
Co1 0.000 0.250 0.750
Co2 0.000 0.428 0.584